No. 1
Material: BeSbMo2
Method: DFT, PBE
State: optimized geometry

```
BeSbMo2
1.0
9.365 0.000 0.000
0.000 3.458 0.000
-1.978 0.000 3.859
Be Sb Mo
2 2 4
Direct
0.000 0.000 0.000
0.500 0.500 0.000
0.251 0.500 0.253
0.751 0.000 0.253
0.016 0.500 0.519
0.265 0.000 0.767
0.516 0.000 0.519
0.765 0.500 0.767
```

Computed properties:
- Total energy: -0.51959 Ry/atom
- SG: Cm, No. 8
- Energy relative to the elements, uncorrected: 0.3084 eV per atom

=====

No. 2
Material: Be2SbMo
Method: DFT, PBE
State: optimized geometry

```
Be2SbMo
1.0
3.772 0.000 0.000
0.000 3.772 0.000
0.000 0.000 7.976
Be Sb Mo
4 2 2
Direct
0.000 0.500 0.250
0.000 0.500 0.750
0.500 0.000 0.250
0.500 0.000 0.750
0.000 0.000 0.000
0.500 0.500 0.500
0.000 0.000 0.500
0.500 0.500 0.000
```

Computed properties:
- Total energy: -0.38219 Ry/atom
- SG: I4/mmm, No. 139
- Energy relative to the elements, uncorrected: 0.4016 eV per atom

=====

No. 3
Material: BeSbMo2
Method: DFT, PBE
State: optimized geometry

```
BeSbMo2
1.0
3.886 0.000 0.000
0.000 3.886 0.000
0.000 0.000 4.166
Be Sb Mo
1 1 2
Direct
0.000 0.000 0.000
0.500 0.500 0.000
0.000 0.500 0.500
0.500 0.000 0.500
```

Computed properties:
- Total energy: -0.50978 Ry/atom
- SG: P4/mmm, No. 123
- Energy relative to the elements, uncorrected: 0.4418 eV per atom

=====

No. 4
Material: BeSb4Mo
Method: DFT, PBE
State: optimized geometry

```
BeSb4Mo
1.0
0.000 4.323 4.323
4.323 0.000 4.323
4.323 4.323 0.000
Be Sb Mo
1 4 1
Direct
0.000 0.000 0.000
0.374 0.374 0.374
0.374 0.374 0.878
0.374 0.878 0.374
0.878 0.374 0.374
0.750 0.750 0.750
```

Computed properties:
- Total energy: -0.29051 Ry/atom
- SG: F-43m, No. 216
- Energy relative to the elements, uncorrected: 1.2219 eV per atom

=====

Question: Number 3 is which compound?
Answer: BeSbMo2

=====

Question: Which of these has the lowest total energy?
Answer: number 1

=====

Question: Which of these has the highest energy relative to the elements, uncorrected?
Answer: BeSb4Mo

=====

Question: Look up the total energy of the first one.
Answer: -0.51959 Ry/atom